# NaBiMo2O8

A geometry-optimized NaBiMo2O8 structure (GGA+U, Alexandria).

Cell and atoms, written as CIF:
```
data_NaBiMo2O8
_cell_length_a 6.293
_cell_length_b 6.293
_cell_length_c 6.293
_cell_angle_alpha 106.30
_cell_angle_beta 106.30
_cell_angle_gamma 116.03
_symmetry_space_group_name_H-M 'P 1'
_symmetry_Int_Tables_number 1
_symmetry_space_group_name_Hall 'P 1'
loop_
_atom_site_label
_atom_site_fract_x
_atom_site_fract_y
_atom_site_fract_z
Na1 0.250 0.750 0.500
Bi1 0.000 0.000 0.000
Mo1 0.750 0.250 0.500
Mo2 0.500 0.500 0.000
O1 0.399 0.091 0.308
O2 0.327 0.511 0.184
O3 0.327 0.144 0.816
O4 0.783 0.091 0.692
O5 0.856 0.673 0.184
O6 0.909 0.217 0.308
O7 0.909 0.601 0.692
O8 0.489 0.673 0.816
```

Summary:
Crystal system   tetragonal
Polymorph energy (0 for the lowest one)   27 meV/atom